w.
Computed, not measured: crystalline Gd2W2O9 at its relaxed geometry at the PBE with a Hubbard U level of DFT.

```
Gd2W2O9
1.0
-7.602 5.760 2.481
-2.648 -5.523 4.708
3.750 1.333 8.396
O Gd W
36 8 8
direct
0.879 0.779 0.416
0.095 0.930 0.849
0.214 0.893 0.163
0.705 0.409 0.932
0.114 0.994 0.406
0.714 0.107 0.337
0.134 0.266 0.140
0.634 0.734 0.360
0.295 0.591 0.068
0.904 0.506 0.679
0.397 0.553 0.390
0.320 0.250 0.364
0.886 0.006 0.594
0.786 0.107 0.837
0.603 0.447 0.610
0.595 0.070 0.651
0.180 0.250 0.864
0.096 0.494 0.321
0.905 0.070 0.151
0.405 0.930 0.349
0.897 0.447 0.110
0.404 0.494 0.821
0.614 0.006 0.094
0.103 0.553 0.890
0.820 0.750 0.136
0.795 0.409 0.432
0.866 0.734 0.860
0.680 0.750 0.636
0.621 0.779 0.916
0.205 0.591 0.568
0.366 0.266 0.640
0.596 0.506 0.179
0.379 0.221 0.084
0.286 0.893 0.663
0.121 0.221 0.584
0.386 0.994 0.906
0.558 0.227 0.846
0.442 0.773 0.154
0.053 0.706 0.073
0.553 0.294 0.427
0.058 0.773 0.654
0.447 0.706 0.573
0.947 0.294 0.927
0.942 0.227 0.346
0.751 0.934 0.736
0.230 0.418 0.466
0.270 0.418 0.966
0.770 0.582 0.534
0.251 0.066 0.764
0.749 0.934 0.236
0.730 0.582 0.034
0.249 0.066 0.264
```

Output
Symmetry: P2_1/c, No. 14
Magnetic moment in μB/cell: 55.86

---

x.
Computed, not measured: crystalline Gd2W2O9 at its relaxed geometry at the PBE with a Hubbard U level of DFT.

```
Gd2W2O9
1.0
7.243 0.000 0.000
0.000 9.882 -0.002
0.000 -2.679 9.512
O Gd W
36 8 8
direct
0.202 0.331 0.034
0.202 0.034 0.331
0.000 0.848 0.087
0.298 0.669 0.966
0.000 0.800 0.800
0.000 0.367 0.793
0.810 0.305 0.477
0.000 0.112 0.576
0.500 0.207 0.633
0.000 0.576 0.112
0.500 0.888 0.424
0.500 0.913 0.152
0.500 0.200 0.200
0.810 0.477 0.305
0.690 0.523 0.695
0.000 0.087 0.848
0.500 0.152 0.913
0.702 0.966 0.669
0.310 0.695 0.523
0.000 0.558 0.558
0.702 0.669 0.966
0.000 0.228 0.228
0.798 0.331 0.034
0.000 0.793 0.367
0.310 0.523 0.695
0.190 0.305 0.477
0.500 0.424 0.888
0.750 0.000 0.000
0.690 0.695 0.523
0.500 0.633 0.207
0.500 0.772 0.772
0.798 0.034 0.331
0.298 0.966 0.669
0.190 0.477 0.305
0.500 0.442 0.442
0.250 0.000 0.000
0.750 0.775 0.225
0.000 0.878 0.588
0.250 0.775 0.225
0.500 0.122 0.412
0.000 0.588 0.878
0.250 0.225 0.775
0.500 0.412 0.122
0.750 0.225 0.775
0.500 0.849 0.605
0.000 0.953 0.953
0.000 0.395 0.151
0.000 0.151 0.395
0.500 0.047 0.047
0.250 0.500 0.500
0.750 0.500 0.500
0.500 0.605 0.849
```

Output
Symmetry: Cmcm, No. 63
Magnetic moment in μB/cell: 55.94

---

y.
Computed, not measured: crystalline Gd2W2O9 at its relaxed geometry at the PBE with a Hubbard U level of DFT.

```
Gd2W2O9
1.0
-3.035 3.700 -2.440
-4.157 -1.100 3.503
8.319 16.819 15.153
O Gd W
36 8 8
direct
0.132 0.718 0.851
0.040 0.430 0.941
0.504 0.660 0.242
0.540 0.430 0.559
0.466 0.504 0.096
0.868 0.218 0.851
0.368 0.218 0.649
0.368 0.282 0.351
0.004 0.840 0.742
0.966 0.996 0.596
0.345 0.750 0.000
0.034 0.496 0.596
0.960 0.930 0.941
0.460 0.570 0.441
0.845 0.750 0.500
0.960 0.570 0.059
0.034 0.004 0.404
0.466 0.996 0.904
0.632 0.718 0.649
0.632 0.782 0.351
0.496 0.340 0.758
0.996 0.160 0.258
0.040 0.070 0.059
0.004 0.660 0.258
0.868 0.282 0.149
0.966 0.504 0.404
0.534 0.004 0.096
0.655 0.250 0.000
0.496 0.160 0.242
0.460 0.930 0.559
0.996 0.340 0.742
0.504 0.840 0.758
0.534 0.496 0.904
0.132 0.782 0.149
0.155 0.250 0.500
0.540 0.070 0.441
0.775 0.917 0.201
0.225 0.417 0.201
0.725 0.417 0.299
0.275 0.583 0.701
0.775 0.583 0.799
0.275 0.917 0.299
0.725 0.083 0.701
0.225 0.083 0.799
0.750 0.821 0.424
0.250 0.321 0.424
0.250 0.179 0.576
0.750 0.679 0.576
0.750 0.179 0.924
0.250 0.821 0.076
0.250 0.679 0.924
0.750 0.321 0.076
```

Output
Symmetry: Pbcn, No. 60
Magnetic moment in μB/cell: 56.00

---

w is favored, and the nearest alternative lies 0.041 eV/atom above it.